The following is a DFT calculation (GGA+U) of a geometry-optimized SrWO2 structure.

a = 6.633 Å, b = 6.633 Å, c = 6.515 Å
α = 108.48°, β = 108.48°, γ = 29.90°
Sites, in units of the cell vectors:
Sr  0.000  0.000  0.000
Sr  0.181  0.181  0.638
W  0.414  0.414  0.433
W  0.766  0.766  0.166
O  0.343  0.343  0.065
O  0.390  0.390  0.698
O  0.553  0.553  0.364
O  0.630  0.630  0.877

Total DFT energy (no corrections): -6.4362 eV per atom
V: 135.0 Å³/cell
Distance to the lowest polymorph of the same formula: 0.39 eV per formula unit
Magnetic moment: 1.00 μB per formula unit
Crystal system: monoclinic